DFT (PBE) results for an optimized crystal structure of Sr4Hg3Au.

POSCAR file:
```
Sr4Hg3Au
1.0
4.385 0.000 0.000
0.000 4.967 0.000
0.000 0.000 12.203
Sr Hg Au
4 3 1
direct
0.000 0.000 0.000
0.000 0.500 0.269
0.500 0.000 0.484
0.500 0.500 0.774
0.000 0.000 0.715
0.000 0.500 0.549
0.500 0.500 0.055
0.500 0.000 0.211
```

Calculated values
The raw total energy comes out at -15.47 eV per formula unit. For the energy of formation, the calculation gives -0.5701 eV per atom. As for the symmetry: Pmm2, No. 25. The calculation puts the density of states at the Fermi level at 0.73 states/eV per atom.